Record 1
## CsNa2S2 (PBE-GGA)

Data for crystalline CsNa2S2 at its relaxed geometry.

Calculated values
- final energy (eV/f.u.) = -15.3
- uncorrected formation energy (eV/atom) = -0.71
- polymorph energy (0 for the lowest one) (eV per atom) = 0.122

Unit cell a=8.8939 b=8.8939 c=3.4021 alpha=90.00 beta=90.00 gamma=90.00
Space group P4/mbm (No. 127)
Inequivalent atoms, fractional coordinates:
Cs (0.0000, 0.0000, 0.0000) [2 per cell]
Na (0.1229, 0.3771, 0.5000) [4 per cell]
S (0.1599, 0.6599, 0.0000) [4 per cell]

Record 2
## Cs2Na2S (PBE-GGA)

Data for crystalline Cs2Na2S at its relaxed geometry.

Calculated values
- final energy (eV/f.u.) = -9.7
- uncorrected formation energy (eV/atom) = -0.25

Unit cell a=8.7142 b=8.7142 c=7.5737 alpha=90.00 beta=90.00 gamma=90.00
Space group P4/mbm (No. 127)
Inequivalent atoms, fractional coordinates:
Cs (0.1612, 0.3388, 0.0000) [4 per cell]
Na (0.1472, 0.6472, 0.5000) [4 per cell]
S (0.0000, 0.0000, 0.0000) [2 per cell]

Record 3
## Cs2NaS (PBE-GGA)

Data for crystalline Cs2NaS at its relaxed geometry.

Calculated values
- final energy (eV/f.u.) = -9.3
- uncorrected formation energy (eV/atom) = -0.53
- polymorph energy (0 for the lowest one) (eV per atom) = 0.132

Unit cell a=4.9345 b=4.9345 c=38.0449 alpha=90.00 beta=90.00 gamma=120.00
Space group R-3m (No. 166, hexagonal axes)
Inequivalent atoms, fractional coordinates:
Cs (0.0000, 0.0000, 0.1212) [6 per cell]
Na (0.0000, 0.0000, 0.0000) [3 per cell]
S (0.0000, 0.0000, 0.5000) [3 per cell]